No. 1
## Na2TiPdO4 (GGA-PBE)

Data for a geometry-optimized Na2TiPdO4 structure.

Properties
energy relative to the elements, uncorrected = -1.8179 eV/atom
space-group type = I-4
magnetic moment = 0.00 μB per formula unit

abc: 5.1659 5.1659 5.1659
angles: 106.76 110.84 110.84
With the nearest neighbours (Å) after each atom.
Element x y z (fractional)
O1 0.9635 0.4637 0.1186  1 Ti 1.86, 1 Pd 2.06
O2 0.6549 0.4998 0.5363  1 Ti 1.86, 1 Pd 2.06
Ti1 0.0000 0.5000 0.5000  4 O 1.86
O3 0.3451 0.8814 0.8449  1 Ti 1.86, 1 Pd 2.06
O4 0.0365 0.1551 0.5002  1 Ti 1.86, 1 Pd 2.06
Na1 0.5000 0.7500 0.2500  4 O 2.34
Pd1 0.5000 0.2500 0.7500  4 O 2.06
Na2 0.0000 0.0000 0.0000  4 O 2.39

***

No. 2
## NaTiPdO4 (GGA-PBE)

Data for a geometry-optimized NaTiPdO4 structure.

Properties
energy relative to the elements, uncorrected = -1.7463 eV/atom
space-group type = Imma
magnetic moment = 1.02 μB per formula unit

abc: 6.2904 6.4295 5.9718
angles: 117.67 90.00 119.29
With the nearest neighbours (Å) after each atom.
Element x y z (fractional)
Ti1 0.5000 0.0000 0.0000  6 O 1.97-2.04
O1 0.2973 0.0034 0.7517  2 Ti 1.97
Ti2 0.5000 0.0000 0.5000  6 O 1.97-2.04
Na1 0.8714 0.7429 0.1214  4 O 2.22-2.25
O2 0.2939 0.9966 0.2483  2 Ti 1.97
Pd1 0.0000 0.5000 0.5000  4 O 2.08
O3 0.2863 0.5726 0.3169  1 Ti 2.04, 2 Pd 2.08, 1 Na 2.25
O4 0.2863 0.5726 0.7557  1 Ti 2.04, 2 Pd 2.08, 1 Na 2.25
O5 0.7027 0.9966 0.2483  2 Ti 1.97
O6 0.7061 0.0034 0.7517  2 Ti 1.97
Na2 0.1286 0.2571 0.8786  4 O 2.22-2.25
O7 0.7137 0.4274 0.6831  1 Ti 2.04, 2 Pd 2.08, 1 Na 2.25
Pd2 0.5000 0.5000 0.5000  4 O 2.08
O8 0.7137 0.4274 0.2443  1 Ti 2.04, 2 Pd 2.08, 1 Na 2.25

***

No. 3
## NaTi2PdO6 (GGA-PBE)

Data for a geometry-optimized NaTi2PdO6 structure.

Properties
energy relative to the elements, uncorrected = -2.0585 eV/atom
space-group type = C2/c
magnetic moment = 1.00 μB per formula unit

abc: 5.4807 6.9720 6.9720
angles: 87.82 82.29 82.29
With the nearest neighbours (Å) after each atom.
Element x y z (fractional)
Ti1 0.2084 0.7840 0.5965  4 O 1.79-1.93
O1 0.6147 0.4285 0.2842  2 Ti 1.89-1.93
O2 0.0963 0.6210 0.1659  1 Ti 1.79, 1 Pd 2.00
O3 0.3853 0.5715 0.7158  2 Ti 1.89-1.93
Ti2 0.7916 0.2160 0.4035  4 O 1.79-1.93
O4 0.8853 0.7158 0.5715  2 Ti 1.89-1.93
O5 0.1147 0.2842 0.4285  2 Ti 1.89-1.93
Ti3 0.7084 0.5965 0.7840  4 O 1.79-1.93
Na1 0.2500 0.9177 0.0823  6 O 2.36-2.42
O6 0.6544 0.7550 0.9856  1 Ti 1.79
Na2 0.7500 0.0823 0.9177  6 O 2.36-2.42
Pd1 0.2500 0.2743 0.7257  4 O 2.00-2.14
O7 0.9037 0.3790 0.8341  1 Ti 1.79, 1 Pd 2.00
O8 0.5963 0.1659 0.6210  1 Ti 1.79, 1 Pd 2.00
O9 0.4037 0.8341 0.3790  1 Ti 1.79, 1 Pd 2.00
Ti4 0.2916 0.4035 0.2160  4 O 1.79-1.93
O10 0.1544 0.9856 0.7550  1 Ti 1.79
O11 0.8456 0.0144 0.2450  1 Ti 1.79
O12 0.3456 0.2450 0.0144  1 Ti 1.79
Pd2 0.7500 0.7257 0.2743  4 O 2.00-2.14